# Li6Mn5O10

An optimized crystal structure of Li6Mn5O10 (PBE+U, Alexandria).

Properties
Density ... 3660 kg/m³
DFT total energy ... -6.37 eV/atom
Fermi-level density of states ... 5.57 states/eV/f.u.
Spin magnetization ... 19.0 μB per cell

a b c (Å): 7.9406 7.9406 5.1571
angles (deg): 89.33 89.33 138.32
Element x y z (fractional)
1 O 0.8390 0.4343 0.7879
2 O 0.1506 0.5478 0.2288
3 O 0.7766 0.9780 0.2220
4 O 0.2313 0.0147 0.7689
5 O 0.5478 0.1506 0.2288
6 O 0.9780 0.7766 0.2220
7 O 0.0147 0.2313 0.7689
8 O 0.4343 0.8390 0.7879
9 O 0.6938 0.6938 0.8138
10 O 0.3123 0.3123 0.1838
11 Li 0.0895 0.2700 0.4063
12 Li 0.8903 0.6869 0.5860
13 Li 0.2700 0.0895 0.4063
14 Li 0.6869 0.8903 0.5860
15 Li 0.1283 0.5586 0.5963
16 Li 0.5586 0.1283 0.5963
17 Mn 0.6183 0.4175 0.0237
18 Mn 0.2092 0.8082 0.0209
19 Mn 0.8082 0.2092 0.0209
20 Mn 0.4175 0.6183 0.0237
21 Mn 0.0060 0.0060 0.9875